No. 1
! Ac2La8Dy3 | Alexandria | PBE | relaxed; values from VASP
! space-group type: C2/m, No. 12
! ΔE_f: 0.161 eV per atom
! uncorrected energy: -4.566 eV per atom
&SYSTEM
  ibrav = 0, nat = 13, ntyp = 3
/
ATOMIC_SPECIES
La 138.91 La.upf
Ac 227.00 Ac.upf
Dy 162.50 Dy.upf
ATOMIC_POSITIONS angstrom
La 2.956 7.048 9.367
La 3.206 4.797 6.562
La 4.694 0.592 6.443
La 4.252 7.852 5.624
La 5.286 5.376 2.657
La 5.990 1.397 2.700
La 5.740 3.648 5.506
La 3.660 3.068 9.410
Ac 6.082 5.852 8.344
Ac 2.864 2.593 3.724
Dy 1.111 1.822 7.139
Dy 1.667 6.318 3.580
Dy 3.084 0.152 0.674
CELL_PARAMETERS angstrom
6.169 0.305 1.348
1.973 8.796 1.620
0.805 -0.656 9.099


No. 2
! Ac2La4Dy7 | Alexandria | PBE | relaxed; values from VASP
! space-group type: P-31m, No. 162
! ΔE_f: 0.176 eV per atom
! uncorrected energy: -4.451 eV per atom
&SYSTEM
  ibrav = 0, nat = 13, ntyp = 3
/
ATOMIC_SPECIES
Dy 162.50 Dy.upf
La 138.91 La.upf
Ac 227.00 Ac.upf
ATOMIC_POSITIONS angstrom
Dy -2.025 3.508 2.939
Dy 1.113 1.928 2.939
Dy 2.226 0.000 10.684
Dy -1.113 1.928 10.684
Dy 0.000 0.000 0.000
Dy 4.051 0.000 2.939
Dy 2.025 3.508 10.684
La 0.000 3.624 6.811
La 3.138 1.812 6.811
La 0.000 0.000 8.285
La 0.000 0.000 5.337
Ac 3.138 1.812 0.000
Ac 0.000 3.624 0.000
CELL_PARAMETERS angstrom
6.277 0.000 0.000
-3.138 5.436 0.000
0.000 0.000 13.623


No. 3
! AcLaDyLu | Alexandria | PBE | relaxed; values from VASP
! space-group type: F-43m, No. 216
! ΔE_f: 0.087 eV per atom
! uncorrected energy: -4.453 eV per atom
&SYSTEM
  ibrav = 0, nat = 4, ntyp = 4
/
ATOMIC_SPECIES
Ac 227.00 Ac.upf
La 138.91 La.upf
Lu 174.97 Lu.upf
Dy 162.50 Dy.upf
ATOMIC_POSITIONS angstrom
Ac 5.870 3.389 2.396
La 0.000 0.000 0.000
Lu 2.935 1.694 1.198
Dy 8.805 5.083 3.595
CELL_PARAMETERS angstrom
5.870 0.000 0.000
2.935 5.083 0.000
2.935 1.694 4.793


No. 4
! AcLaNd5Dy2 | Alexandria | PBE | relaxed; values from VASP
! space-group type: Cmc2_1, No. 36
! ΔE_f: 0.139 eV per atom
! uncorrected energy: -4.536 eV per atom
&SYSTEM
  ibrav = 0, nat = 18, ntyp = 4
/
ATOMIC_SPECIES
La 138.91 La.upf
Dy 162.50 Dy.upf
Nd 144.24 Nd.upf
Ac 227.00 Ac.upf
ATOMIC_POSITIONS angstrom
La -0.539 -3.602 4.308
La -3.963 -0.721 7.760
Dy -1.086 1.880 7.333
Dy -4.502 -0.902 11.559
Dy -3.705 -4.319 6.475
Dy -0.556 0.213 3.865
Nd -3.912 -8.015 8.473
Nd -3.137 1.301 1.671
Nd -0.939 -1.792 6.847
Nd -0.582 3.637 3.544
Nd -3.608 1.990 4.869
Nd -4.250 1.963 9.371
Nd -1.458 -0.030 10.224
Nd -3.465 -1.538 4.387
Nd -0.893 -6.327 7.187
Nd -1.832 -2.570 13.217
Ac -4.028 4.740 7.410
Ac -1.312 -3.575 9.726
CELL_PARAMETERS angstrom
-5.626 -0.118 -0.803
1.735 -8.207 9.175
-1.073 7.028 6.489


No. 5
! AcLa3NdDy | Alexandria | PBE | relaxed; values from VASP
! space-group type: C2/m, No. 12
! ΔE_f: 0.167 eV per atom
! uncorrected energy: -4.544 eV per atom
&SYSTEM
  ibrav = 0, nat = 12, ntyp = 4
/
ATOMIC_SPECIES
Dy 162.50 Dy.upf
La 138.91 La.upf
Ac 227.00 Ac.upf
Nd 144.24 Nd.upf
ATOMIC_POSITIONS angstrom
Dy 0.231 0.127 5.444
Dy 0.192 -5.293 6.439
La -0.028 -3.242 3.811
La -2.634 -3.228 6.807
La 3.057 -1.937 5.077
La -2.183 -7.476 6.859
La 0.451 -1.924 8.072
La 2.606 2.311 5.024
Ac 2.853 -4.812 8.294
Ac -2.430 -0.354 3.590
Nd 1.166 -0.687 1.875
Nd -0.743 -4.479 10.008
CELL_PARAMETERS angstrom
-3.037 3.946 3.334
-2.199 -9.881 4.306
5.659 0.770 4.244


No. 6
! AcLa2Nd2Dy | Alexandria | PBE | relaxed; values from VASP
! space-group type: Pmc2_1, No. 26
! ΔE_f: 0.049 eV per atom
! uncorrected energy: -4.635 eV per atom
&SYSTEM
  ibrav = 0, nat = 12, ntyp = 4
/
ATOMIC_SPECIES
Dy 162.50 Dy.upf
Nd 144.24 Nd.upf
Ac 227.00 Ac.upf
La 138.91 La.upf
ATOMIC_POSITIONS angstrom
Dy 2.936 5.563 3.394
Dy 2.936 1.890 6.796
Nd 2.936 5.566 6.831
Nd 2.936 1.893 3.359
Nd 0.000 1.891 8.512
Nd 0.000 5.564 1.678
Ac 0.000 0.055 5.092
Ac 0.000 3.728 5.098
La 0.000 5.568 8.505
La 2.936 3.730 10.185
La 0.000 1.895 1.685
La 2.936 0.057 0.005
CELL_PARAMETERS angstrom
5.872 0.000 0.000
0.000 7.346 0.000
0.000 0.000 10.190


No. 7
! Ac2La2NdDy | Alexandria | PBE | relaxed; values from VASP
! space-group type: Pnnm, No. 58
! ΔE_f: 0.245 eV per atom
! uncorrected energy: -4.329 eV per atom
&SYSTEM
  ibrav = 0, nat = 12, ntyp = 4
/
ATOMIC_SPECIES
Nd 144.24 Nd.upf
La 138.91 La.upf
Ac 227.00 Ac.upf
Dy 162.50 Dy.upf
ATOMIC_POSITIONS angstrom
Nd 0.000 0.000 0.000
Nd 1.829 3.412 9.407
La 0.000 1.968 16.229
La 1.829 1.444 6.823
La 1.829 5.380 11.991
La 0.000 4.856 2.584
Ac 0.000 1.496 3.548
Ac 1.829 4.908 5.859
Ac 1.829 1.916 12.954
Ac 0.000 5.328 15.266
Dy 1.829 3.412 0.000
Dy 0.000 0.000 9.407
CELL_PARAMETERS angstrom
3.659 0.000 0.000
0.000 6.824 0.000
0.000 0.000 18.814


No. 8
! AcLa2Nd2Dy2 | Alexandria | PBE | relaxed; values from VASP
! space-group type: C2/m, No. 12
! ΔE_f: 0.034 eV per atom
! uncorrected energy: -4.638 eV per atom
&SYSTEM
  ibrav = 0, nat = 7, ntyp = 4
/
ATOMIC_SPECIES
Nd 144.24 Nd.upf
Dy 162.50 Dy.upf
La 138.91 La.upf
Ac 227.00 Ac.upf
ATOMIC_POSITIONS angstrom
Nd 0.000 4.546 2.615
Nd 2.635 -0.216 5.738
Dy 0.000 1.003 3.574
Dy 2.635 3.327 4.780
La 0.000 2.039 7.014
La 2.635 2.291 1.340
Ac 0.000 0.000 0.000
CELL_PARAMETERS angstrom
5.270 0.000 0.000
-2.635 5.877 0.281
0.000 -1.548 8.072


No. 9
! AcLaNd6Dy2 | Alexandria | PBE | relaxed; values from VASP
! space-group type: C2/c, No. 15
! ΔE_f: 0.116 eV per atom
! uncorrected energy: -4.569 eV per atom
&SYSTEM
  ibrav = 0, nat = 20, ntyp = 4
/
ATOMIC_SPECIES
Ac 227.00 Ac.upf
La 138.91 La.upf
Nd 144.24 Nd.upf
Dy 162.50 Dy.upf
ATOMIC_POSITIONS angstrom
Ac 0.593 -8.859 -0.755
Ac -0.753 1.097 11.028
La -2.105 -5.809 5.788
La 1.944 -1.953 4.484
Nd 0.105 -5.188 -0.205
Nd 0.003 -3.403 7.281
Nd 1.555 -0.114 8.046
Nd 2.049 -7.582 2.450
Nd -1.716 -7.648 2.226
Nd -3.254 -3.319 8.010
Nd -2.209 -0.180 7.823
Nd -0.266 -2.574 10.477
Nd -0.164 -4.359 2.992
Nd 3.416 1.741 5.121
Nd 3.094 -4.443 2.262
Nd -3.576 -9.503 5.152
Dy 1.878 -5.543 5.401
Dy -1.465 -5.796 9.438
Dy 1.305 -1.966 0.835
Dy -2.039 -2.219 4.871
CELL_PARAMETERS angstrom
-7.210 -3.177 6.047
2.323 -8.435 -2.548
4.727 3.850 6.773


No. 10
! Ac2La4NdDy | Alexandria | PBE | relaxed; values from VASP
! space-group type: P2/m, No. 10
! ΔE_f: 0.031 eV per atom
! uncorrected energy: -4.632 eV per atom
&SYSTEM
  ibrav = 0, nat = 8, ntyp = 4
/
ATOMIC_SPECIES
La 138.91 La.upf
Ac 227.00 Ac.upf
Nd 144.24 Nd.upf
Dy 162.50 Dy.upf
ATOMIC_POSITIONS angstrom
La 2.675 3.658 8.889
La 2.675 4.693 3.660
La 0.000 6.271 9.388
La 5.350 2.080 3.162
Ac 0.000 3.145 11.518
Ac 2.675 1.572 5.759
Nd 2.675 2.603 0.516
Dy 0.000 4.175 6.275
CELL_PARAMETERS angstrom
5.350 0.000 0.000
0.000 5.206 1.031
0.000 3.145 11.518


No. 11
! AcLaNd3Dy | Alexandria | PBE | relaxed; values from VASP
! space-group type: C2/m, No. 12
! ΔE_f: 0.172 eV per atom
! uncorrected energy: -4.485 eV per atom
&SYSTEM
  ibrav = 0, nat = 12, ntyp = 4
/
ATOMIC_SPECIES
La 138.91 La.upf
Ac 227.00 Ac.upf
Nd 144.24 Nd.upf
Dy 162.50 Dy.upf
ATOMIC_POSITIONS angstrom
La 0.000 0.765 2.128
La 2.964 8.281 6.564
Ac 0.000 6.028 7.979
Ac 2.964 3.018 0.713
Nd 0.000 4.160 2.613
Nd 2.964 4.886 6.079
Nd 0.000 2.419 5.757
Nd 2.964 -0.603 5.294
Nd 2.964 6.627 2.935
Nd 0.000 9.649 3.398
Dy 0.000 6.685 4.775
Dy 2.964 2.361 3.917
CELL_PARAMETERS angstrom
5.929 0.000 0.000
-2.964 10.324 1.649
0.000 -1.278 7.043


No. 12
! AcLa2NdDy4 | Alexandria | PBE | relaxed; values from VASP
! space-group type: Imma, No. 74
! ΔE_f: 0.398 eV per atom
! uncorrected energy: -4.245 eV per atom
&SYSTEM
  ibrav = 0, nat = 16, ntyp = 4
/
ATOMIC_SPECIES
Nd 144.24 Nd.upf
Ac 227.00 Ac.upf
La 138.91 La.upf
Dy 162.50 Dy.upf
ATOMIC_POSITIONS angstrom
Nd 1.363 2.394 2.127
Nd 3.163 -3.355 13.140
Ac -1.180 6.530 1.949
Ac -0.961 2.458 6.392
La -0.219 4.072 -4.443
La -2.543 4.135 -0.178
La 1.582 -1.678 6.570
La -2.761 8.207 -4.621
Dy -2.019 7.314 -1.384
Dy 4.745 -2.525 5.638
Dy -1.771 3.233 3.050
Dy 2.042 5.579 0.948
Dy 0.684 -0.790 3.305
Dy 0.463 3.247 -1.111
Dy 4.496 1.555 1.204
Dy 2.262 1.542 5.364
CELL_PARAMETERS angstrom
-4.648 0.127 8.532
7.811 -3.482 4.609
-0.438 8.144 -8.887